Entry 1:
Here is crystalline PaTlPd2S4 at its relaxed geometry from Alexandria. Energies are from GGA-PBE.

a b c (Å): 5.9096 5.9096 5.9096
angles (deg): 110.46 109.54 108.42
Closest atoms and distances in Å follow each position.
Fractional coordinates of all 8 atoms:
Pa: 0.0000 0.0000 0.0000  4 S 2.73
Tl: 0.5000 0.5000 0.0000  8 S 2.91-3.02
Pd: 0.2283 0.7283 0.5000  4 S 2.41-2.42
Pd: 0.7717 0.2717 0.5000  4 S 2.41-2.42
S: 0.0247 0.0224 0.4781  2 Pd 2.41-2.42
S: 0.4557 0.9776 0.0023  2 Pd 2.41-2.42
S: 0.5443 0.5466 0.5219  2 Pd 2.41-2.42
S: 0.9753 0.4534 0.9977  2 Pd 2.41-2.42

Output
- energy relative to the elements, uncorrected (eV/f.u.) = -5.23
- M_tot (μB/f.u.) = 0.0
- E_tot (eV/atom) = -5.4988
- V (A^3/atom) = 19.853

Entry 2:
Here is crystalline U2PaPdS6 at its relaxed geometry from Alexandria. Energies are from GGA-PBE.

a b c (Å): 6.0082 6.0082 6.7196
angles (deg): 90.00 90.00 90.00
Closest atoms and distances in Å follow each position.
Fractional coordinates of all 10 atoms:
U: 0.0000 0.5000 0.0000  4 S 2.73
U: 0.5000 0.0000 0.0000  4 S 2.73
Pa: 0.0000 0.0000 0.5627  5 S 2.54-2.73
Pd: 0.5000 0.5000 0.4883  1 S 2.31
S: 0.0000 0.0000 0.1571  1 Pa 2.73
S: 0.2615 0.2615 0.7455  1 Pa 2.54, 1 Pd 2.66, 2 U 2.73
S: 0.2615 0.7385 0.7455  1 Pa 2.54, 1 Pd 2.66, 2 U 2.73
S: 0.5000 0.5000 0.1439  1 Pd 2.31
S: 0.7385 0.2615 0.7455  1 Pa 2.54, 1 Pd 2.66, 2 U 2.73
S: 0.7385 0.7385 0.7455  1 Pa 2.54, 1 Pd 2.66, 2 U 2.73

Output
- energy relative to the elements, uncorrected (eV/f.u.) = -8.95
- M_tot (μB/f.u.) = 5.0
- E_tot (eV/atom) = -7.0980
- V (A^3/atom) = 24.256